# NaLaV2S PBE optimized geometry
# - total energy (hartree per atom) = -0.2055
# - formation energy from raw total energies (eV per atom) = 0.130
# - size of the total moment (μB per atom) = 0.397
data_NaLaV2S
_symmetry_space_group_name_H-M 'P 4/m m m'
_symmetry_Int_Tables_number 123
_symmetry_space_group_name_Hall '-P 4 2'
_cell_length_a 4.498
_cell_length_b 4.498
_cell_length_c 5.530
_cell_angle_alpha 90.00
_cell_angle_beta 90.00
_cell_angle_gamma 90.00
loop_
_atom_site_label
_atom_site_type_symbol
_atom_site_fract_x
_atom_site_fract_y
_atom_site_fract_z
_atom_site_occupancy
Na1 Na 0.000 0.000 0.000 1
La1 La 0.500 0.500 0.000 1
V1 V 0.000 0.500 0.500 1
S1 S 0.500 0.500 0.500 1